Computed, not measured: a relaxed HoAsN2O crystal at the PBE level of DFT.

Structure (CIF):
```
data_HoAsN2O
_chemical_formula_sum 'Ho4 As4 N8 O4'
_cell_length_a 5.4551
_cell_length_b 5.4606
_cell_length_c 9.1733
_cell_angle_alpha 76.47
_cell_angle_beta 76.57
_cell_angle_gamma 60.17
_space_group_name_H-M_alt 'P 1'
_space_group_IT_number 1
_space_group_name_Hall 'P 1'
loop_
_atom_site_label
_atom_site_type_symbol
_atom_site_fract_x
_atom_site_fract_y
_atom_site_fract_z
Ho1 Ho 0.0000 0.0000 0.0000
Ho2 Ho 0.2085 0.3498 0.2715
Ho3 Ho 0.4944 0.6216 0.4909
Ho4 Ho 0.7698 0.9104 0.6887
As1 As 0.1084 0.2893 0.6215
As2 As 0.3402 0.3659 0.9092
As3 As 0.6474 0.6530 0.1014
As4 As 0.8347 0.9860 0.3472
N1 N 0.0638 0.6507 0.4741
N2 N 0.3494 0.3692 0.7079
N3 N 0.3926 0.5544 0.0282
N4 N 0.4788 0.0541 0.4913
N5 N 0.5878 0.9800 0.9446
N6 N 0.6191 0.3836 0.2739
N7 N 0.7975 0.7894 0.2204
N8 N 0.9964 0.4135 0.0063
O1 O 0.1388 0.9607 0.7484
O2 O 0.1898 0.9535 0.2328
O3 O 0.7582 0.5019 0.7201
O4 O 0.9263 0.2163 0.4956
```

***

Computed, not measured: a relaxed HoAsN2O crystal at the PBE level of DFT.

Structure (CIF):
```
data_HoAsN2O
_chemical_formula_sum 'Ho2 As2 N4 O2'
_cell_length_a 5.4114
_cell_length_b 3.6102
_cell_length_c 5.5930
_cell_angle_alpha 90.00
_cell_angle_beta 90.00
_cell_angle_gamma 90.00
_space_group_name_H-M_alt 'P m m a'
_space_group_IT_number 51
_space_group_name_Hall '-P 2a 2a'
loop_
_atom_site_label
_atom_site_type_symbol
_atom_site_fract_x
_atom_site_fract_y
_atom_site_fract_z
Ho1 Ho 0.2500 0.0000 0.2104
As1 As 0.2500 0.5000 0.7157
N1 N 0.0000 0.5000 0.5000
N2 N 0.2500 0.0000 0.8022
O1 O 0.0000 0.5000 0.0000
```

***

In eV per atom, the E_tot values for the records above are, in order, -7.03 -6.84.